Ta2CrRe after structural relaxation, computed with GGA-PBEsol.

```
Ta2CrRe
1.0
3.117 0.000 0.000
0.000 4.399 0.000
-1.559 -2.199 4.446
Cr Re Ta
1 1 2
direct
0.504 0.504 0.008
0.244 0.744 0.487
0.995 0.995 0.991
0.757 0.257 0.514
```

magnetization: 0.00 Bohr magnetons per cell
density of states at the Fermi level: 1.993 states/eV per cell
formation energy from the elements: -62.6 kJ/mol of formula units
SG: Imm2, No. 44